1.
Entry from the Alexandria database: a relaxed TiFeNiPt crystal (PBE-GGA).

Cell: 4.2370 4.2370 4.2370 Å, 60.00 60.00 60.00°
Element x y z (fractional)
Ni 0.2500 0.2500 0.2500
Fe 0.7500 0.7500 0.7500
Pt 0.0000 0.0000 0.0000
Ti 0.5000 0.5000 0.5000

Calculated values
DFT total energy = -29.73 eV per formula unit
E above lowest polymorph = 0.165 eV per atom
Volume = 13.45 Å³/atom
Formation enthalpy at 0 K = -387 meV/atom


2.
Entry from the Alexandria database: a relaxed Y2Ga2Sb crystal (PBE-GGA).

Cell: 5.0031 5.0031 6.4651 Å, 67.24 67.24 90.00°
Element x y z (fractional)
Y 0.7500 0.2500 0.5000
Y 0.2500 0.7500 0.5000
Sb 0.0000 0.0000 0.0000
Ga 0.3922 0.3922 0.2157
Ga 0.6078 0.6078 0.7843

Calculated values
DFT total energy = -23.83 eV per formula unit
E above lowest polymorph = 0.527 eV per atom
Volume = 27.09 Å³/atom


3.
Entry from the Alexandria database: a relaxed Ba2LaRu crystal (PBE-GGA).

Cell: 3.7712 3.7712 10.7970 Å, 90.00 90.00 90.00°
Element x y z (fractional)
Ba 0.0000 0.0000 0.9153
Ba 0.5000 0.5000 0.2777
La 0.0000 0.0000 0.5930
Ru 0.5000 0.5000 0.7140

Calculated values
DFT total energy = -17.55 eV per formula unit
E above lowest polymorph = 0.065 eV per atom
Volume = 38.39 Å³/atom
Formation enthalpy at 0 K = 126 meV/atom


4.
Entry from the Alexandria database: a relaxed CdRuCl crystal (PBE-GGA).

Cell: 4.4961 4.4961 3.0738 Å, 90.00 90.00 120.00°
Element x y z (fractional)
Cd 0.0000 0.0000 0.9999
Cl 0.3333 0.6667 0.5001
Ru 0.6667 0.3333 0.5000

Calculated values
DFT total energy = -10.44 eV per formula unit
E above lowest polymorph = 0.260 eV per atom
Volume = 17.94 Å³/atom


5.
Entry from the Alexandria database: a relaxed Sm2Al5Zn3 crystal (PBE-GGA).

Cell: 5.9411 8.6046 8.6046 Å, 78.87 69.80 69.80°
Element x y z (fractional)
Sm 0.1267 0.6244 0.1223
Sm 0.6267 0.1223 0.6244
Sm 0.8733 0.3756 0.8777
Sm 0.3733 0.8777 0.3756
Al 0.3784 0.2598 0.9834
Al 0.8784 0.9834 0.2598
Al 0.6216 0.7402 0.0166
Al 0.1216 0.0166 0.7402
Al 0.5043 0.7457 0.7457
Al 0.4957 0.2543 0.2543
Al 0.7500 0.5000 0.5000
Al 0.2500 0.5000 0.5000
Al 0.9957 0.2543 0.2543
Al 0.0043 0.7457 0.7457
Zn 0.3772 0.4840 0.7616
Zn 0.8772 0.7616 0.4840
Zn 0.6228 0.5160 0.2384
Zn 0.1228 0.2384 0.5160
Zn 0.2500 0.0000 0.0000
Zn 0.7500 0.0000 0.0000

Calculated values
DFT total energy = -35.99 eV per formula unit
Volume = 19.30 Å³/atom
Formation enthalpy at 0 K = -402 meV/atom


6.
Entry from the Alexandria database: a relaxed LiEr4Hg3 crystal (PBE-GGA).

Cell: 5.2019 5.2020 8.2127 Å, 108.51 108.46 90.00°
Element x y z (fractional)
Er 0.3748 0.3746 0.7495
Er 0.6252 0.6254 0.2505
Er 0.1252 0.1254 0.2505
Er 0.8748 0.8746 0.7495
Hg 0.0000 0.5000 0.0000
Hg 0.7449 0.2447 0.4899
Hg 0.2551 0.7553 0.5101
Li 0.5000 0.0000 0.0000

Calculated values
DFT total energy = -23.97 eV per formula unit
Volume = 24.83 Å³/atom
Formation enthalpy at 0 K = -363 meV/atom


7.
Entry from the Alexandria database: a relaxed KYB12 crystal (PBE-GGA).

Cell: 5.8828 5.8828 5.8828 Å, 60.00 60.00 60.00°
Element x y z (fractional)
K 0.0000 0.0000 0.0000
Y 0.5000 0.5000 0.5000
B 0.8992 0.8992 0.6008
B 0.3992 0.3992 0.1008
B 0.6008 0.8992 0.6008
B 0.1008 0.3992 0.1008
B 0.8992 0.6008 0.6008
B 0.3992 0.1008 0.1008
B 0.8992 0.6008 0.8992
B 0.3992 0.1008 0.3992
B 0.6008 0.8992 0.8992
B 0.1008 0.3992 0.3992
B 0.6008 0.6008 0.8992
B 0.1008 0.1008 0.3992

Calculated values
DFT total energy = -91.75 eV per formula unit
Volume = 10.28 Å³/atom
Formation enthalpy at 0 K = -290 meV/atom


8.
Entry from the Alexandria database: a relaxed Cs2CaI6N crystal (PBE-GGA).

Cell: 8.0479 8.0479 8.8775 Å, 63.05 63.05 90.00°
Element x y z (fractional)
Cs 0.7500 0.2500 0.5000
Cs 0.2500 0.7500 0.5000
I 0.2222 0.2222 0.5557
I 0.7778 0.7778 0.4443
I 0.2806 0.2806 0.0000
I 0.7194 0.7194 0.0000
I 0.7194 0.2806 0.0000
I 0.2806 0.7194 0.0000
Ca 0.0000 0.0000 0.0000
N 0.5000 0.5000 0.0000

Calculated values
DFT total energy = -27.30 eV per formula unit
Volume = 44.13 Å³/atom


9.
Entry from the Alexandria database: a relaxed BaHg2Pd crystal (PBE-GGA).

Cell: 4.8668 4.8668 6.2204 Å, 66.97 66.97 60.00°
Element x y z (fractional)
Hg 0.7889 0.7889 0.6333
Hg 0.2111 0.2111 0.3667
Pd 0.5000 0.5000 0.5000
Ba 0.0000 0.0000 0.0000

Calculated values
DFT total energy = -9.43 eV per formula unit
Volume = 28.46 Å³/atom
Formation enthalpy at 0 K = -428 meV/atom


10.
Entry from the Alexandria database: a relaxed ZrMo2Br crystal (PBE-GGA).

Cell: 5.7613 5.7613 5.7613 Å, 147.08 135.83 56.17°
Element x y z (fractional)
Mo 0.0006 0.0006 0.0000
Mo 0.4994 0.4994 0.0000
Br 0.2500 0.7500 0.5000
Zr 0.7500 0.2500 0.5000

Calculated values
DFT total energy = -30.29 eV per formula unit
E above lowest polymorph = 0.284 eV per atom
Volume = 17.97 Å³/atom


11.
Entry from the Alexandria database: a relaxed Dy2ZnGa2Pd5 crystal (PBE-GGA).

Cell: 3.5713 10.0027 10.0027 Å, 90.00 90.00 90.00°
Element x y z (fractional)
Dy 0.0000 0.6745 0.1745
Dy 0.0000 0.3255 0.8255
Dy 0.0000 0.1745 0.3255
Dy 0.0000 0.8255 0.6745
Zn 0.0000 0.0000 0.0000
Zn 0.0000 0.5000 0.5000
Ga 0.0000 0.1256 0.6256
Ga 0.0000 0.8744 0.3744
Ga 0.0000 0.6256 0.8744
Ga 0.0000 0.3744 0.1256
Pd 0.5000 0.2011 0.0557
Pd 0.5000 0.7989 0.9443
Pd 0.5000 0.0557 0.7989
Pd 0.5000 0.7011 0.4443
Pd 0.5000 0.9443 0.2011
Pd 0.5000 0.2989 0.5557
Pd 0.5000 0.5557 0.7011
Pd 0.5000 0.4443 0.2989
Pd 0.5000 0.5000 0.0000
Pd 0.5000 0.0000 0.5000

Calculated values
DFT total energy = -49.52 eV per formula unit
Volume = 17.87 Å³/atom
Formation enthalpy at 0 K = -702 meV/atom


12.
Entry from the Alexandria database: a relaxed ZrAlZn3 crystal (PBE-GGA).

Cell: 4.4402 4.6108 9.8667 Å, 76.49 90.00 90.00°
Element x y z (fractional)
Zr 0.7500 0.1350 0.7301
Zr 0.2500 0.8650 0.2699
Al 0.7500 0.4147 0.1705
Al 0.2500 0.5853 0.8295
Zn 0.7500 0.5348 0.4300
Zn 0.7500 0.0352 0.4300
Zn 0.2500 0.9648 0.5700
Zn 0.2500 0.4652 0.5700
Zn 0.0000 0.0000 0.0000
Zn 0.5000 0.0000 0.0000

Calculated values
DFT total energy = -14.95 eV per formula unit
E above lowest polymorph = 0.000 eV per atom
Volume = 19.64 Å³/atom
Formation enthalpy at 0 K = 234 meV/atom


13.
Entry from the Alexandria database: a relaxed Na7SrLi5 crystal (PBE-GGA).

Cell: 6.2820 8.6812 8.6812 Å, 81.69 68.79 68.79°
Element x y z (fractional)
Na 0.6594 0.3406 0.3406
Na 0.3511 0.6489 0.6489
Na 0.9945 0.3545 0.6565
Na 0.9945 0.6565 0.3545
Na 0.2817 0.2183 0.2183
Na 0.5010 0.7916 0.2064
Na 0.5010 0.2064 0.7916
Sr 0.0141 0.9859 0.9859
Li 0.4972 0.9941 0.5132
Li 0.9955 0.9941 0.5132
Li 0.4972 0.5132 0.9941
Li 0.9955 0.5132 0.9941
Li 0.7175 0.7825 0.7825

Calculated values
DFT total energy = -20.01 eV per formula unit
Volume = 31.65 Å³/atom
Formation enthalpy at 0 K = 37 meV/atom


14.
Entry from the Alexandria database: a relaxed TaTcRu2 crystal (PBE-GGA).

Cell: 4.8566 4.8566 4.8566 Å, 132.84 132.84 68.91°
Element x y z (fractional)
Ru 0.0000 0.0000 0.0000
Ru 0.2500 0.7500 0.5000
Ta 0.5000 0.5000 0.0000
Tc 0.7500 0.2500 0.5000

Calculated values
DFT total energy = -41.08 eV per formula unit
E above lowest polymorph = 0.048 eV per atom
Volume = 15.12 Å³/atom
Formation enthalpy at 0 K = -77 meV/atom


15.
Entry from the Alexandria database: a relaxed RbLiMg6O7 crystal (PBE-GGA).

Cell: 4.1566 4.1566 11.5255 Å, 90.00 90.00 90.00°
Element x y z (fractional)
Rb 0.0000 0.0000 0.5428
Li 0.0000 0.0000 0.0315
Mg 0.5000 0.5000 0.0085
Mg 0.5000 0.5000 0.3981
Mg 0.0000 0.5000 0.2102
Mg 0.0000 0.5000 0.8409
Mg 0.5000 0.0000 0.2102
Mg 0.5000 0.0000 0.8409
O 0.0000 0.0000 0.1997
O 0.0000 0.0000 0.8075
O 0.5000 0.5000 0.8327
O 0.0000 0.5000 0.0276
O 0.0000 0.5000 0.3859
O 0.5000 0.0000 0.0276
O 0.5000 0.0000 0.3859

Calculated values
DFT total energy = -77.35 eV per formula unit
E above lowest polymorph = 0.004 eV per atom
Volume = 13.28 Å³/atom


16.
Entry from the Alexandria database: a relaxed Sr3ICl crystal (PBE-GGA).

Cell: 6.0015 6.0015 6.0015 Å, 90.00 90.00 90.00°
Element x y z (fractional)
I 0.5000 0.5000 0.5000
Sr 0.0000 0.5000 0.0000
Sr 0.0000 0.0000 0.5000
Sr 0.5000 0.0000 0.0000
Cl 0.0000 0.0000 0.0000

Calculated values
DFT total energy = -11.65 eV per formula unit
E above lowest polymorph = 0.000 eV per atom
Volume = 43.23 Å³/atom